The following is a PBE calculation of a relaxed structure of Fe5GeRh6, from Alexandria.

Unit cell a=4.3270 b=5.8392 c=6.6763 alpha=90.00 beta=104.17 gamma=90.00
Site moments in Bohr magnetons follow the coordinates.
Positions (direct):
Rh1 0.8758 0.2497 0.6799  0.73
Fe1 0.6353 0.0000 0.3538  3.05
Fe2 0.3644 0.5000 0.6552  3.14
Rh2 0.8758 0.7503 0.6799  0.73
Fe3 0.3647 0.0000 0.6462  3.05
Rh3 0.5000 0.2488 0.0000  0.71
Rh4 0.5000 0.7512 0.0000  0.71
Rh5 0.1242 0.7503 0.3201  0.73
Ge1 0.0000 0.0000 0.0000  -0.04
Rh6 0.1242 0.2497 0.3201  0.73
Fe4 0.0000 0.5000 0.0000  3.17
Fe5 0.6356 0.5000 0.3448  3.14

- Calculated formation energy: -0.1613 eV per atom
- ρ: 9.84 g/cm3
- DOS at the Fermi energy: 0.780 states/eV per atom
- Total DFT energy (no corrections): -92.976 eV per cell